VASP calculation (PBE) on a geometry-optimized Pm12SnPd6 structure.

Calculated values
The symmetry is No. 204. The energy above the most stable polymorph in this dataset is 0.00 kJ/mol of atoms.

Cell: 8.875 8.875 8.875 Å, 109.47 109.47 109.47°
Element x y z (fractional)
Pm  0.115  0.299  0.816
Pm  0.184  0.483  0.299
Pm  0.184  0.885  0.701
Pm  0.299  0.184  0.483
Pm  0.299  0.816  0.115
Pm  0.483  0.299  0.184
Pm  0.517  0.701  0.816
Pm  0.701  0.184  0.885
Pm  0.701  0.816  0.517
Pm  0.816  0.115  0.299
Pm  0.816  0.517  0.701
Pm  0.885  0.701  0.184
Sn  0.000  0.000  0.000
Pd  0.134  0.500  0.634
Pd  0.366  0.866  0.500
Pd  0.500  0.366  0.866
Pd  0.500  0.634  0.134
Pd  0.634  0.134  0.500
Pd  0.866  0.500  0.366



VASP calculation (PBE) on a geometry-optimized PmSnPd2 structure.

Calculated values
The final energy is -5.46 eV per atom. The symmetry is No. 123.

Cell: 4.726 4.726 3.742 Å, 90.00 90.00 90.00°
Element x y z (fractional)
Pm  0.000  0.000  0.000
Sn  0.500  0.500  0.000
Pd  0.000  0.500  0.500
Pd  0.500  0.000  0.500



VASP calculation (PBE) on a geometry-optimized Pm6Sn2Pd structure.

Calculated values
The final energy is -5.19 eV per atom. The symmetry is No. 189.

Cell: 8.463 8.463 4.307 Å, 90.00 90.00 120.00°
Element x y z (fractional)
Pm  0.000  0.411  0.000
Pm  0.000  0.753  0.500
Pm  0.247  0.247  0.500
Pm  0.411  0.000  0.000
Pm  0.589  0.589  0.000
Pm  0.753  0.000  0.500
Sn  0.333  0.667  0.500
Sn  0.667  0.333  0.500
Pd  0.000  0.000  0.000



VASP calculation (PBE) on a geometry-optimized Pm5Sn4Pd structure.

Calculated values
The final energy is -5.19 eV per atom. The symmetry is No. 123.

Cell: 3.515 3.515 21.892 Å, 90.00 90.00 90.00°
Element x y z (fractional)
Pm  0.000  0.000  0.000
Pm  0.000  0.000  0.208
Pm  0.000  0.000  0.416
Pm  0.000  0.000  0.584
Pm  0.000  0.000  0.792
Sn  0.500  0.500  0.104
Sn  0.500  0.500  0.312
Sn  0.500  0.500  0.688
Sn  0.500  0.500  0.896
Pd  0.500  0.500  0.500



VASP calculation (PBE) on a geometry-optimized Pm3Sn2Pd7 structure.

Calculated values
The symmetry is No. 139. The energy above the most stable polymorph in this dataset is 0.00 kJ/mol of atoms.

Cell: 14.987 14.987 14.987 Å, 164.09 164.09 22.57°
Element x y z (fractional)
Pm  0.000  0.000  0.000
Pm  0.180  0.180  0.000
Pm  0.820  0.820  0.000
Sn  0.372  0.372  0.000
Sn  0.628  0.628  0.000
Pd  0.073  0.573  0.500
Pd  0.278  0.278  0.000
Pd  0.427  0.927  0.500
Pd  0.500  0.500  0.000
Pd  0.573  0.073  0.500
Pd  0.722  0.722  0.000
Pd  0.927  0.427  0.500



VASP calculation (PBE) on a geometry-optimized Pm7Sn2Pd2 structure.

Calculated values
The final energy is -5.11 eV per atom. The symmetry is No. 65.

Cell: 7.077 7.077 7.158 Å, 90.00 90.00 107.44°
Element x y z (fractional)
Pm  0.000  0.000  0.000
Pm  0.000  0.500  0.260
Pm  0.000  0.500  0.740
Pm  0.500  0.000  0.260
Pm  0.500  0.000  0.740
Pm  0.500  0.500  0.244
Pm  0.500  0.500  0.756
Sn  0.175  0.175  0.500
Sn  0.825  0.825  0.500
Pd  0.284  0.716  0.000
Pd  0.716  0.284  0.000



VASP calculation (PBE) on a geometry-optimized Pm4Sn8Pd structure.

Calculated values
The final energy is -4.98 eV per atom. The symmetry is No. 25.

Cell: 4.457 4.503 17.378 Å, 90.00 90.00 90.00°
Element x y z (fractional)
Pm  0.000  0.000  0.000
Pm  0.000  0.500  0.485
Pm  0.500  0.000  0.789
Pm  0.500  0.500  0.289
Sn  0.000  0.000  0.323
Sn  0.000  0.000  0.623
Sn  0.000  0.500  0.143
Sn  0.000  0.500  0.857
Sn  0.500  0.000  0.147
Sn  0.500  0.000  0.441
Sn  0.500  0.500  0.622
Sn  0.500  0.500  0.968
Pd  0.000  0.500  0.707



VASP calculation (PBE) on a geometry-optimized Pm5Sn8Pd structure.

Calculated values
The final energy is -4.89 eV per atom. The symmetry is No. 82.

Cell: 7.995 7.995 7.995 Å, 107.64 107.64 113.20°
Element x y z (fractional)
Pm  0.000  0.000  0.000
Pm  0.244  0.617  0.143
Pm  0.383  0.526  0.627
Pm  0.474  0.101  0.857
Pm  0.899  0.756  0.373
Sn  0.086  0.667  0.738
Sn  0.100  0.226  0.744
Sn  0.333  0.072  0.419
Sn  0.483  0.356  0.256
Sn  0.644  0.900  0.127
Sn  0.652  0.914  0.581
Sn  0.774  0.517  0.873
Sn  0.928  0.348  0.262
Pd  0.750  0.250  0.500



no.,theoretical density (g cm⁻³),magnetic moment (μB/cell)
1,7.706,0.00
2,9.466,0.00
3,7.544,0.00
4,8.018,0.00
5,9.306,0.00
6,7.114,0.00
7,7.789,0.00
8,7.544,0.00